Density functional theory data (GGA-PBEsol) for a relaxed structure of MoCl3.

abc: 5.691 5.691 12.723
angles: 91.04 91.04 121.26
Positions (direct):
Mo 0.130 0.870 0.000
Mo 0.191 0.809 0.500
Mo 0.809 0.191 0.500
Mo 0.870 0.130 0.000
Cl 0.154 0.154 0.864
Cl 0.170 0.170 0.406
Cl 0.173 0.493 0.622
Cl 0.177 0.527 0.106
Cl 0.473 0.823 0.894
Cl 0.493 0.173 0.622
Cl 0.507 0.827 0.378
Cl 0.527 0.177 0.106
Cl 0.823 0.473 0.894
Cl 0.827 0.507 0.378
Cl 0.830 0.830 0.594
Cl 0.846 0.846 0.136

Summary:
The volume comes out at 21.998 Å³/atom. Its energy above the most stable polymorph in this dataset is 0.029 eV per atom. As for the uncorrected energy: -5.298 eV per atom. For the formation energy (no corrections), the calculation gives -0.85 eV/atom.

Density functional theory data (GGA-PBEsol) for a relaxed structure of Mg5Zn.

abc: 5.872 5.872 5.872
angles: 54.29 54.29 54.29
Positions (direct):
Mg 0.000 0.342 0.658
Mg 0.166 0.166 0.166
Mg 0.342 0.658 0.000
Mg 0.658 0.000 0.342
Mg 0.834 0.834 0.834
Zn 0.500 0.500 0.500

Summary:
The volume comes out at 20.684 Å³/atom. As for the uncorrected energy: -1.692 eV per atom.